(1)
A relaxed Sn2AuSeS3 crystal, computed with PBE.

a = 8.4061 Å, b = 8.4061 Å, c = 8.4061 Å
α = 54.90°, β = 54.90°, γ = 54.90°
Element x y z (fractional)
Sn 0.0000 0.0000 0.0000
Sn 0.0000 0.0000 0.5000
Sn 0.5000 0.0000 0.0000
Sn 0.0000 0.5000 0.0000
S 0.2120 0.7485 0.7485
S 0.7485 0.2120 0.7485
S 0.2515 0.2515 0.7880
S 0.2515 0.7880 0.2515
S 0.7880 0.2515 0.2515
S 0.7485 0.7485 0.2120
Se 0.7574 0.7574 0.7574
Se 0.2426 0.2426 0.2426
Au 0.5719 0.5719 0.5719
Au 0.4281 0.4281 0.4281

* Fermi-level density of states: 0.224 states/eV per atom
* volume: 26.4 Å³/atom
* energy: -4.153 eV/atom



(2)
A relaxed Ag2Sb crystal, computed with PBE.

a = 13.7184 Å, b = 13.7184 Å, c = 13.7184 Å
α = 161.86°, β = 161.86°, γ = 25.76°
Element x y z (fractional)
Ag 0.5813 0.5813 0.0000
Ag 0.8313 0.3313 0.5000
Ag 0.4187 0.4187 0.0000
Ag 0.6687 0.1687 0.5000
Ag 0.2491 0.2491 0.0000
Ag 0.0009 0.5009 0.5000
Ag 0.4991 0.9991 0.5000
Ag 0.7509 0.7509 0.0000
Sb 0.3271 0.8271 0.5000
Sb 0.0771 0.0771 0.0000
Sb 0.9229 0.9229 0.0000
Sb 0.1729 0.6729 0.5000

* Fermi-level density of states: 0.263 states/eV per atom
* distance to the lowest polymorph of the same formula: 6 meV/atom
* volume: 20.8 Å³/atom



> Among the records above, which one has the highest Fermi-level density of states?

Ag2Sb



> Which formula does entry 1 have?

Sn2AuSeS3



Please write out number 1 again, unchanged.
A relaxed Sn2AuSeS3 crystal, computed with PBE.

a = 8.4061 Å, b = 8.4061 Å, c = 8.4061 Å
α = 54.90°, β = 54.90°, γ = 54.90°
Element x y z (fractional)
Sn 0.0000 0.0000 0.0000
Sn 0.0000 0.0000 0.5000
Sn 0.5000 0.0000 0.0000
Sn 0.0000 0.5000 0.0000
S 0.2120 0.7485 0.7485
S 0.7485 0.2120 0.7485
S 0.2515 0.2515 0.7880
S 0.2515 0.7880 0.2515
S 0.7880 0.2515 0.2515
S 0.7485 0.7485 0.2120
Se 0.7574 0.7574 0.7574
Se 0.2426 0.2426 0.2426
Au 0.5719 0.5719 0.5719
Au 0.4281 0.4281 0.4281

* Fermi-level density of states: 0.224 states/eV per atom
* volume: 26.4 Å³/atom
* energy: -4.153 eV/atom



> Number 2 is which compound?

Ag2Sb